No. 1
DFT (GGA-PBE) results for a geometry-optimized SrTi2TeAs structure.

- Calculated total energy: -5.309 eV/atom
- M_tot: 4.8 μB/f.u.

abc: 4.9088 5.9562 4.9088
angles: 90.00 90.00 90.00
Closest atoms and distances in Å follow each position.
Element x y z (fractional)
Sr1 0.0000 0.5000 0.0000  2 As 2.98
As1 0.0000 0.0000 0.0000  4 Ti 2.45
Te1 0.5000 0.5000 0.5000  4 Sr 3.47, 8 Ti 3.86
Ti1 0.0000 0.0000 0.5000  2 As 2.45
Ti2 0.5000 0.0000 0.0000  2 As 2.45


No. 2
DFT (GGA-PBE) results for a geometry-optimized TiTcW structure.

- ΔE_f: -0.32 eV per atom
- E above lowest polymorph: 56.5 meV per atom
- M_tot: 0.0 μB/f.u.

abc: 3.1145 3.1145 9.5493
angles: 90.00 90.00 90.00
Closest atoms and distances in Å follow each position.
Element x y z (fractional)
Tc1 0.0000 0.0000 0.1606  4 W 2.68, 4 Ti 2.71
Tc2 0.5000 0.5000 0.6606  4 W 2.68, 4 Ti 2.71
W1 0.0000 0.0000 0.5013  4 Tc 2.68, 4 Ti 2.77
W2 0.5000 0.5000 0.0013  4 Tc 2.68, 4 Ti 2.77
Ti1 0.0000 0.0000 0.8261  4 Tc 2.71, 4 W 2.77
Ti2 0.5000 0.5000 0.3261  4 Tc 2.71, 4 W 2.77


No. 3
DFT (GGA-PBE) results for a geometry-optimized Zr2ScZn structure.

- ΔE_f: -0.11 eV per atom
- M_tot: 0.0 μB/f.u.

abc: 3.1764 3.1765 8.3934
angles: 90.00 90.00 89.98
Closest atoms and distances in Å follow each position.
Element x y z (fractional)
Sc1 0.5000 0.5000 0.2500  4 Sc 3.18, 8 Zr 3.21
Zn1 0.5000 0.5000 0.7500  8 Zr 2.94, 4 Zn 3.18
Zr1 0.0000 0.0000 0.9763  4 Zn 2.94, 4 Zr 3.18, 4 Sc 3.21
Zr2 0.0000 0.0000 0.5237  4 Zn 2.94, 4 Zr 3.18, 4 Sc 3.21


No. 4
DFT (GGA-PBE) results for a geometry-optimized KMg2Ag structure.

- ΔE_f: 0.05 eV per atom
- E above lowest polymorph: 0.0 meV per atom
- M_tot: 0.0 μB/f.u.

abc: 3.9951 3.3870 9.0601
angles: 67.98 90.00 90.00
Closest atoms and distances in Å follow each position.
Element x y z (fractional)
Ag1 0.0000 0.5811 0.4177  5 Mg 2.84-2.93
K1 0.5000 0.7768 0.7258  2 K 3.39, 4 Ag 3.67-3.69, 1 Mg 3.68
Mg1 0.0000 0.9309 0.0689  1 Ag 2.93, 4 Mg 3.20
Mg2 0.5000 0.2112 0.2877  4 Ag 2.84


No. 5
DFT (GGA-PBE) results for a geometry-optimized AcNdInNi structure.

- ΔE_f: -0.16 eV per atom
- M_tot: 0.0 μB/f.u.

abc: 5.4269 5.4269 5.4269
angles: 60.00 60.00 60.00
Closest atoms and distances in Å follow each position.
Element x y z (fractional)
Ni1 0.2500 0.2500 0.2500  4 Ac 3.32, 4 Nd 3.32
Ac1 0.5000 0.5000 0.5000  4 In 3.32, 4 Ni 3.32
Nd1 0.0000 0.0000 0.0000  4 Ni 3.32, 4 In 3.32
In1 0.7500 0.7500 0.7500  4 Nd 3.32, 4 Ac 3.32


No. 6
DFT (GGA-PBE) results for a geometry-optimized SmThSbAu structure.

- Calculated total energy: -5.563 eV/atom
- M_tot: 0.0 μB/f.u.

abc: 5.3398 5.3398 5.3398
angles: 60.00 60.00 60.00
Closest atoms and distances in Å follow each position.
Element x y z (fractional)
Sb1 0.5000 0.5000 0.5000  4 Th 3.27, 4 Sm 3.27
Au1 0.0000 0.0000 0.0000  4 Sm 3.27, 4 Th 3.27
Sm1 0.2500 0.2500 0.2500  4 Sb 3.27, 4 Au 3.27
Th1 0.7500 0.7500 0.7500  4 Au 3.27, 4 Sb 3.27


No. 7
DFT (GGA-PBE) results for a geometry-optimized Er4Al3Ag structure.

- ΔE_f: -0.38 eV per atom
- E above lowest polymorph: 0.0 meV per atom
- M_tot: 0.0 μB/f.u.

abc: 3.5562 3.5562 14.5065
angles: 90.00 90.00 90.00
Closest atoms and distances in Å follow each position.
Element x y z (fractional)
Al1 0.5000 0.5000 0.2526  8 Er 3.09-3.10
Al2 0.5000 0.5000 0.5000  8 Er 3.08
Al3 0.5000 0.5000 0.7474  8 Er 3.09-3.10
Ag1 0.5000 0.5000 0.0000  8 Er 3.13
Er1 0.0000 0.0000 0.8719  4 Al 3.10, 4 Ag 3.13
Er2 0.0000 0.0000 0.1281  4 Al 3.10, 4 Ag 3.13
Er3 0.0000 0.0000 0.3769  8 Al 3.08-3.09
Er4 0.0000 0.0000 0.6231  8 Al 3.08-3.09


No. 8
DFT (GGA-PBE) results for a geometry-optimized TbTmMgPt structure.

- ΔE_f: -0.61 eV per atom
- M_tot: 0.0 μB/f.u.

abc: 5.0604 5.0604 5.0604
angles: 60.00 60.00 60.00
Closest atoms and distances in Å follow each position.
Element x y z (fractional)
Mg1 0.2500 0.2500 0.2500  4 Tb 3.10, 4 Tm 3.10
Tm1 0.0000 0.0000 0.0000  4 Mg 3.10, 4 Pt 3.10
Tb1 0.5000 0.5000 0.5000  4 Mg 3.10, 4 Pt 3.10
Pt1 0.7500 0.7500 0.7500  4 Tb 3.10, 4 Tm 3.10


No. 9
DFT (GGA-PBE) results for a geometry-optimized PmNd2DyTm5 structure.

- ΔE_f: 0.26 eV per atom
- M_tot: 0.0 μB/f.u.

abc: 8.6640 8.6640 9.8337
angles: 116.14 116.14 90.00
Closest atoms and distances in Å follow each position.
Element x y z (fractional)
Pm1 0.2500 0.2500 0.5000  10 Tm 3.54-3.85
Pm2 0.7500 0.7500 0.5000  10 Tm 3.54-3.85
Nd1 0.1169 0.3831 0.0000  1 Nd 2.86, 2 Tm 3.00
Nd2 0.6169 0.1169 0.0000  1 Nd 2.86, 2 Tm 3.00
Nd3 0.3831 0.8831 0.0000  1 Nd 2.86, 2 Tm 3.00
Nd4 0.8831 0.6169 0.0000  1 Nd 2.86, 2 Tm 3.00
Dy1 0.2500 0.7500 0.5000  4 Tm 3.10
Dy2 0.7500 0.2500 0.5000  4 Tm 3.10
Tm1 0.9275 0.4275 0.2769  1 Nd 3.00, 1 Dy 3.10
Tm2 0.6506 0.1506 0.7231  1 Nd 3.00, 1 Dy 3.10
Tm3 0.0725 0.5725 0.7231  1 Nd 3.00, 1 Dy 3.10
Tm4 0.1506 0.0725 0.7231  1 Nd 3.00, 1 Dy 3.10
Tm5 0.5725 0.6506 0.7231  1 Nd 3.00, 1 Dy 3.10
Tm6 0.8494 0.9275 0.2769  1 Nd 3.00, 1 Dy 3.10
Tm7 0.4275 0.3494 0.2769  1 Nd 3.00, 1 Dy 3.10
Tm8 0.3494 0.8494 0.2769  1 Nd 3.00, 1 Dy 3.10
Tm9 0.5000 0.5000 0.0000  4 Nd 3.47, 8 Tm 3.76, 2 Pm 3.85
Tm10 0.0000 0.0000 0.0000  4 Nd 3.47, 8 Tm 3.76, 2 Pm 3.85


No. 10
DFT (GGA-PBE) results for a geometry-optimized YMg2AlGe2 structure.

- ΔE_f: -0.39 eV per atom
- M_tot: 0.0 μB/f.u.

abc: 4.1423 6.9799 8.5532
angles: 90.00 90.00 90.00
Closest atoms and distances in Å follow each position.
Element x y z (fractional)
Y1 0.0000 0.9672 0.4170  5 Ge 2.93-3.01, 2 Al 3.17
Y2 0.0000 0.4672 0.5830  5 Ge 2.93-3.01, 2 Al 3.17
Mg1 0.5000 0.0419 0.0750  5 Ge 2.94-3.09, 4 Mg 3.20-3.27
Mg2 0.0000 0.3655 0.1836  4 Ge 2.73-2.76
Mg3 0.5000 0.5419 0.9250  5 Ge 2.94-3.09, 4 Mg 3.20-3.27
Mg4 0.0000 0.8655 0.8164  4 Ge 2.73-2.76
Al1 0.5000 0.1492 0.6894  4 Ge 2.71-2.75
Al2 0.5000 0.6492 0.3106  4 Ge 2.71-2.75
Ge1 0.0000 0.2497 0.8763  2 Al 2.71, 4 Mg 2.73-2.94, 1 Y 2.93
Ge2 0.5000 0.2721 0.3837  2 Al 2.71-2.75, 2 Mg 2.76, 4 Y 2.98-3.01
Ge3 0.0000 0.7497 0.1237  2 Al 2.71, 4 Mg 2.73-2.94, 1 Y 2.93
Ge4 0.5000 0.7721 0.6163  2 Al 2.71-2.75, 2 Mg 2.76, 4 Y 2.98-3.01


No. 11
DFT (GGA-PBE) results for a geometry-optimized YSb structure.

- Calculated total energy: -6.219 eV/atom
- M_tot: 0.0 μB/f.u.

abc: 5.2887 5.2887 6.1353
angles: 90.00 90.00 120.00
Closest atoms and distances in Å follow each position.
Element x y z (fractional)
Y1 0.3333 0.6667 0.2500  5 Sb 3.05-3.07
Y2 0.6667 0.3333 0.7500  5 Sb 3.05-3.07
Sb1 0.3333 0.6667 0.7500  5 Y 3.05-3.07
Sb2 0.6667 0.3333 0.2500  5 Y 3.05-3.07


No. 12
DFT (GGA-PBE) results for a geometry-optimized ScAs2Pt structure.

- ΔE_f: -0.33 eV per atom
- E above lowest polymorph: 368.9 meV per atom
- M_tot: 0.0 μB/f.u.

abc: 3.6218 3.6218 5.5894
angles: 90.00 90.00 90.00
Closest atoms and distances in Å follow each position.
Element x y z (fractional)
As1 0.0000 0.0000 0.9919  2 As 2.70-2.89, 4 Sc 2.90, 4 Pt 2.94
As2 0.0000 0.0000 0.5081  2 As 2.70-2.89, 4 Sc 2.90, 4 Pt 2.94
Pt1 0.5000 0.5000 0.2500  2 Sc 2.79, 8 As 2.94
Sc1 0.5000 0.5000 0.7500  2 Pt 2.79, 8 As 2.90


No. 13
DFT (GGA-PBE) results for a geometry-optimized Na3Pu2RhSe6 structure.

- Calculated total energy: -6.189 eV/atom
- M_tot: 10.0 μB/f.u.

abc: 6.9195 6.9195 7.4334
angles: 98.96 98.96 119.95
Closest atoms and distances in Å follow each position.
Element x y z (fractional)
Na1 0.1681 0.8319 0.5000  6 Se 2.97-3.16
Na2 0.8319 0.1681 0.5000  6 Se 2.97-3.16
Na3 0.5000 0.5000 0.5000  6 Se 2.96-3.19
Pu1 0.3332 0.6668 0.0000  6 Se 2.86-2.87
Pu2 0.6668 0.3332 0.0000  6 Se 2.86-2.87
Rh1 0.0000 0.0000 0.0000  6 Se 2.63-2.64
Se1 0.9258 0.6196 0.7779  1 Rh 2.64, 2 Pu 2.87
Se2 0.7673 0.7673 0.2198  1 Rh 2.63, 2 Pu 2.86
Se3 0.0742 0.3804 0.2221  1 Rh 2.64, 2 Pu 2.87
Se4 0.6196 0.9258 0.7779  1 Rh 2.64, 2 Pu 2.87
Se5 0.2327 0.2327 0.7802  1 Rh 2.63, 2 Pu 2.86
Se6 0.3804 0.0742 0.2221  1 Rh 2.64, 2 Pu 2.87


No. 14
DFT (GGA-PBE) results for a geometry-optimized MgInCu2 structure.

- ΔE_f: -0.02 eV per atom
- M_tot: 0.0 μB/f.u.

abc: 5.3504 5.3504 5.3504
angles: 145.08 130.51 62.00
Closest atoms and distances in Å follow each position.
Element x y z (fractional)
Mg1 0.2383 0.7383 0.5000  6 Cu 2.77-2.88, 4 In 3.02-3.03
Cu1 0.9771 0.9771 0.0000  2 Cu 2.51, 4 In 2.78
Cu2 0.7665 0.2665 0.5000  2 Cu 2.51, 4 Mg 2.77, 2 In 2.79
In1 0.5181 0.5181 0.0000  6 Cu 2.78-2.79, 4 Mg 3.02-3.03


No. 15
DFT (GGA-PBE) results for a geometry-optimized LiPdI structure.

- E above lowest polymorph: 196.9 meV per atom
- M_tot: 0.0 μB/f.u.

abc: 5.8450 8.1844 5.4814
angles: 90.00 90.00 90.00
Closest atoms and distances in Å follow each position.
Element x y z (fractional)
I1 0.0000 0.0000 0.0000  4 Pd 2.84-2.93, 4 Li 2.90-3.10
I2 0.5000 0.5000 0.5000  4 Pd 2.84-2.93, 4 Li 2.90-3.10
I3 0.5000 0.0000 0.5000  4 Pd 2.84-2.93, 4 Li 2.90-3.10
I4 0.0000 0.5000 0.0000  4 Pd 2.84-2.93, 4 Li 2.90-3.10
Pd1 0.2801 0.2500 0.1992  2 Li 2.63-2.79, 4 I 2.84-2.93
Pd2 0.2199 0.7500 0.6992  2 Li 2.63-2.79, 4 I 2.84-2.93
Pd3 0.7199 0.7500 0.8008  2 Li 2.63-2.79, 4 I 2.84-2.93
Pd4 0.7801 0.2500 0.3008  2 Li 2.63-2.79, 4 I 2.84-2.93
Li1 0.6277 0.2500 0.8495  2 Pd 2.63-2.79, 2 I 2.90
Li2 0.8723 0.7500 0.3495  2 Pd 2.63-2.79, 2 I 2.90
Li3 0.3723 0.7500 0.1505  2 Pd 2.63-2.79, 2 I 2.90
Li4 0.1277 0.2500 0.6505  2 Pd 2.63-2.79, 2 I 2.90


No. 16
DFT (GGA-PBE) results for a geometry-optimized CsTcMo structure.

- ΔE_f: 0.70 eV per atom
- E above lowest polymorph: 0.0 meV per atom
- M_tot: 0.0 μB/f.u.

abc: 3.2029 4.3129 13.5396
angles: 81.58 92.49 90.07
Closest atoms and distances in Å follow each position.
Element x y z (fractional)
Cs1 0.2598 0.6052 0.4648  2 Cs 3.20, 1 Tc 3.35
Cs2 0.3569 0.2816 0.1076  2 Cs 3.20, 1 Tc 3.35
Tc1 0.5459 0.4903 0.7081  4 Mo 2.56-2.83, 2 Tc 2.63-2.64
Tc2 0.0702 0.4187 0.8645  4 Mo 2.56-2.83, 2 Tc 2.63-2.64
Mo1 0.6410 0.9168 0.8681  1 Mo 2.48, 2 Tc 2.56
Mo2 0.9750 0.9924 0.7043  1 Mo 2.48, 2 Tc 2.56


No. 17
DFT (GGA-PBE) results for a geometry-optimized CsTlHg14 structure.

- ΔE_f: -0.06 eV per atom
- M_tot: 0.0 μB/f.u.

abc: 7.3234 7.3234 9.2939
angles: 90.00 90.00 90.00
Closest atoms and distances in Å follow each position.
Element x y z (fractional)
Cs1 0.8750 0.8750 0.5000  12 Hg 3.66-3.68
Tl1 0.3750 0.3750 0.5000  12 Hg 3.50-3.66
Hg1 0.8750 0.8750 0.0000  12 Hg 3.47-3.66
Hg2 0.3750 0.3750 0.0000  12 Hg 3.27-3.66
Hg3 0.8750 0.3750 0.5000  8 Hg 3.60, 2 Tl 3.66, 2 Cs 3.66
Hg4 0.8750 0.3750 0.0000  12 Hg 3.37-3.66
Hg5 0.3750 0.8750 0.5000  8 Hg 3.60, 2 Tl 3.66, 2 Cs 3.66
Hg6 0.3750 0.8750 0.0000  12 Hg 3.37-3.66
Hg7 0.6129 0.1371 0.2318  8 Hg 3.27-3.60, 1 Tl 3.50
Hg8 0.6129 0.1371 0.7682  8 Hg 3.27-3.60, 1 Tl 3.50
Hg9 0.1371 0.6129 0.2318  8 Hg 3.27-3.60, 1 Tl 3.50
Hg10 0.1371 0.6129 0.7682  8 Hg 3.27-3.60, 1 Tl 3.50
Hg11 0.6130 0.6130 0.2318  8 Hg 3.27-3.60, 1 Tl 3.51
Hg12 0.6130 0.6130 0.7682  8 Hg 3.27-3.60, 1 Tl 3.51
Hg13 0.1371 0.1371 0.2319  8 Hg 3.27-3.60, 1 Tl 3.50
Hg14 0.1371 0.1371 0.7681  8 Hg 3.27-3.60, 1 Tl 3.50


No. 18
DFT (GGA-PBE) results for a geometry-optimized AgP2Br structure.

- E above lowest polymorph: 141.4 meV per atom
- M_tot: 0.0 μB/f.u.

abc: 7.5993 7.5993 7.5993
angles: 155.56 149.92 39.13
Closest atoms and distances in Å follow each position.
Element x y z (fractional)
Ag1 0.5384 0.5384 0.0000  2 Br 2.77, 4 P 2.88
Br1 0.1744 0.6744 0.5000  2 Ag 2.77
P1 0.9440 0.9440 0.0000  2 P 2.16
P2 0.8432 0.3432 0.5000  2 P 2.16


No. 19
DFT (GGA-PBE) results for a geometry-optimized KInGeBr4 structure.

- Calculated total energy: -3.065 eV/atom
- M_tot: 0.0 μB/f.u.

abc: 8.5773 7.3724 9.6516
angles: 90.00 115.80 90.00
Closest atoms and distances in Å follow each position.
Element x y z (fractional)
K1 0.7548 0.7500 0.4494  5 Br 3.23-3.56
K2 0.2452 0.2500 0.5506  5 Br 3.23-3.56
In1 0.6586 0.7500 0.9463  1 Br 2.82
In2 0.3414 0.2500 0.0537  1 Br 2.82
Ge1 0.1577 0.7500 0.2484  3 Br 2.54-2.55
Ge2 0.8424 0.2500 0.7516  3 Br 2.54-2.55
Br1 0.0424 0.4989 0.7429  1 Ge 2.54
Br2 0.9576 0.9989 0.2571  1 Ge 2.54
Br3 0.9576 0.5011 0.2571  1 Ge 2.54
Br4 0.0424 0.0011 0.7429  1 Ge 2.54
Br5 0.4485 0.7500 0.1038  1 In 2.82
Br6 0.5515 0.2500 0.8962  1 In 2.82
Br7 0.3770 0.7500 0.5308  1 Ge 2.55
Br8 0.6230 0.2500 0.4692  1 Ge 2.55


No. 20
DFT (GGA-PBE) results for a geometry-optimized Ba2NaTcPd structure.

- ΔE_f: 1.05 eV per atom
- M_tot: 3.0 μB/f.u.

abc: 6.2417 4.7442 6.2417
angles: 90.00 90.00 90.00
Closest atoms and distances in Å follow each position.
Element x y z (fractional)
Na1 0.0000 0.0000 0.0000  2 Pd 2.37
Ba1 0.0000 0.0000 0.5000  2 Na 3.12
Ba2 0.5000 0.0000 0.0000  2 Na 3.12
Pd1 0.0000 0.5000 0.0000  2 Na 2.37
Tc1 0.5000 0.5000 0.5000  8 Ba 3.92